# 1
Density functional theory data (SCAN) for a crystal of Sr2SbBr relaxed with PBEsol.

Calculated values
SG: Fm-3m

a b c (Å): 5.6011 5.6011 5.6011
angles (deg): 60.00 60.00 60.00
With the nearest neighbours (Å) after each atom.
Element x y z (fractional)
Sb 0.5000 0.5000 0.5000  8 Sr 3.43
Br 0.0000 0.0000 0.0000  8 Sr 3.43
Sr 0.2500 0.2500 0.2500  4 Br 3.43, 4 Sb 3.43
Sr 0.7500 0.7500 0.7500  4 Sb 3.43, 4 Br 3.43

***

# 2
Density functional theory data (SCAN) for a crystal of SrSbBr3 relaxed with PBEsol.

Calculated values
SG: Pm-3m

a b c (Å): 5.7059 5.7059 5.7059
angles (deg): 90.00 90.00 90.00
With the nearest neighbours (Å) after each atom.
Element x y z (fractional)
Sb 0.0000 0.0000 0.0000  6 Br 2.85
Br 0.0000 0.5000 0.0000  2 Sb 2.85
Br 0.0000 0.0000 0.5000  2 Sb 2.85
Br 0.5000 0.0000 0.0000  2 Sb 2.85
Sr 0.5000 0.5000 0.5000  12 Br 4.03

***

# 3
Density functional theory data (SCAN) for a crystal of SrSbBr2 relaxed with PBEsol.

Calculated values
SG: C2/m
Distance to the lowest polymorph of the same formula: 0 meV/atom

a b c (Å): 3.7463 5.8985 6.0023
angles (deg): 95.81 108.18 90.00
With the nearest neighbours (Å) after each atom.
Element x y z (fractional)
Sb 0.5000 0.0000 0.0000  2 Br 2.82
Br 0.3112 0.2724 0.6223  1 Sb 2.82, 2 Sr 3.06
Br 0.6888 0.7276 0.3777  1 Sb 2.82, 2 Sr 3.06
Sr 0.0000 0.5000 0.0000  4 Br 3.06

***

# 4
Density functional theory data (SCAN) for a crystal of SrSbBr2 relaxed with PBEsol.

Calculated values
SG: Fmmm
Distance to the lowest polymorph of the same formula: 97 meV/atom

a b c (Å): 5.1328 5.1328 6.0071
angles (deg): 114.32 114.32 92.06
With the nearest neighbours (Å) after each atom.
Element x y z (fractional)
Sb 0.5000 0.5000 0.0000  4 Br 3.04
Br 0.5000 0.0000 0.5000  2 Sr 3.04, 2 Sb 3.04
Br 0.0000 0.5000 0.5000  2 Sb 3.04, 2 Sr 3.04
Sr 0.0000 0.0000 0.0000  4 Br 3.04

***

# 5
Density functional theory data (SCAN) for a crystal of SrSb2Br relaxed with PBEsol.

Calculated values
SG: Cmmm

a b c (Å): 3.4907 5.8185 6.6561
angles (deg): 115.92 90.00 90.00
With the nearest neighbours (Å) after each atom.
Element x y z (fractional)
Sb 0.0000 0.0000 0.5000  2 Sb 2.91
Sb 0.0000 0.5000 0.5000  2 Sb 2.91
Br 0.5000 0.5000 0.0000  2 Sr 2.91
Sr 0.5000 0.0000 0.0000  2 Br 2.91

***

# 6
Density functional theory data (SCAN) for a crystal of SrSbBr2 relaxed with PBEsol.

Calculated values
SG: P4/mmm
Distance to the lowest polymorph of the same formula: 16 meV/atom

a b c (Å): 3.5423 3.5423 11.0131
angles (deg): 90.00 90.00 90.00
With the nearest neighbours (Å) after each atom.
Element x y z (fractional)
Sb 0.5000 0.5000 0.0000  4 Sb 3.54
Br 0.0000 0.0000 0.6619  4 Sr 3.07
Br 0.0000 0.0000 0.3381  4 Sr 3.07
Sr 0.5000 0.5000 0.5000  8 Br 3.07

***

# 7
Density functional theory data (SCAN) for a crystal of SrSbBr2 relaxed with PBEsol.

Calculated values
SG: P4/mmm
Distance to the lowest polymorph of the same formula: 236 meV/atom

a b c (Å): 4.4367 4.9933 4.9933
angles (deg): 90.00 90.00 90.00
With the nearest neighbours (Å) after each atom.
Element x y z (fractional)
Sb 0.5000 0.5000 0.5000  8 Br 3.34, 4 Sr 3.53
Br 0.0000 0.0000 0.5000  4 Sb 3.34, 4 Sr 3.34, 4 Br 3.53
Br 0.0000 0.5000 0.0000  4 Sb 3.34, 4 Sr 3.34, 4 Br 3.53
Sr 0.5000 0.0000 0.0000  8 Br 3.34, 4 Sb 3.53

***

# 8
Density functional theory data (SCAN) for a crystal of Sr2SbBr relaxed with PBEsol.

Calculated values
SG: Pmmm

a b c (Å): 4.0802 4.2343 8.1848
angles (deg): 90.05 90.00 90.00
With the nearest neighbours (Å) after each atom.
Element x y z (fractional)
Sb 0.5000 0.5000 0.0000  8 Sr 3.39-3.40
Br 0.5000 0.0000 0.5000  4 Sr 3.15
Sr 0.0000 0.9993 0.7928  2 Br 3.15, 1 Sr 3.39, 4 Sb 3.39-3.40
Sr 0.0000 0.0007 0.2072  2 Br 3.15, 1 Sr 3.39, 4 Sb 3.39-3.40

***

# 9
Density functional theory data (SCAN) for a crystal of Sr2SbBr relaxed with PBEsol.

Calculated values
SG: P4/mmm

a b c (Å): 4.6446 4.6446 6.3867
angles (deg): 90.00 90.00 90.00
With the nearest neighbours (Å) after each atom.
Element x y z (fractional)
Sb 0.0000 0.0000 0.5000  6 Sr 3.19-3.28
Br 0.5000 0.5000 0.0000  6 Sr 3.19-3.28
Sr 0.0000 0.0000 0.0000  2 Sb 3.19, 4 Br 3.28
Sr 0.5000 0.5000 0.5000  2 Br 3.19, 4 Sb 3.28

***

# 10
Density functional theory data (SCAN) for a crystal of TaSbBr relaxed with PBEsol.

Calculated values
SG: P-6m2

a b c (Å): 3.1396 4.7264 4.7264
angles (deg): 120.00 90.00 90.00
With the nearest neighbours (Å) after each atom.
Element x y z (fractional)
Sb 0.0000 0.3333 0.6667  2 Sb 3.14, 6 Br 3.15, 6 Ta 3.15
Br 0.5000 0.0000 0.0000  3 Ta 2.73
Ta 0.5000 0.6667 0.3333  3 Br 2.73

***

# 11
Density functional theory data (SCAN) for a crystal of TaSb2Br2 relaxed with PBEsol.

Calculated values
SG: I4/mmm
Distance to the lowest polymorph of the same formula: 0 meV/atom

a b c (Å): 3.7542 3.7542 10.5185
angles (deg): 100.28 100.28 90.00
With the nearest neighbours (Å) after each atom.
Element x y z (fractional)
Sb 0.2500 0.7500 0.5000  4 Sb 2.65
Sb 0.7500 0.2500 0.5000  4 Sb 2.65
Br 0.4250 0.4250 0.8500  1 Br 3.05, 4 Ta 3.06
Br 0.5750 0.5750 0.1500  1 Br 3.05, 4 Ta 3.06
Ta 0.0000 0.0000 0.0000  8 Br 3.06

***

# 12
Density functional theory data (SCAN) for a crystal of TaSb2Br relaxed with PBEsol.

Calculated values
SG: Fm-3m
Distance to the lowest polymorph of the same formula: 761 meV/atom

a b c (Å): 5.0100 5.0100 5.0100
angles (deg): 60.00 60.00 60.00
With the nearest neighbours (Å) after each atom.
Element x y z (fractional)
Sb 0.2500 0.2500 0.2500  4 Ta 3.07, 4 Br 3.07
Sb 0.7500 0.7500 0.7500  4 Ta 3.07, 4 Br 3.07
Br 0.0000 0.0000 0.0000  8 Sb 3.07
Ta 0.5000 0.5000 0.5000  8 Sb 3.07

***

Across the entries above, volume takes the values 124.3 185.8 125.3 127.3 121.6 138.2 110.6 141.4 137.8 60.7 143.4 88.9 Å³/f.u., respectively.
Across the entries above, energy relative to the elements, uncorrected takes the values -1.521 -0.705 -1.172 -1.075 -0.534 -1.156 -0.936 -1.479 -1.600 0.419 0.796 0.729 eV per atom, respectively.